No. 1
# ZrCuTc3

ZrCuTc3 at its PBEsol-relaxed geometry (SCAN, Alexandria via LeMat-Bulk).

Cell: 4.4100 4.4100 4.4100 Å, 90.00 90.00 90.00°
Last column: nearest neighbours and their distance in Å.
Space group Pm-3m (No. 221)
Unique sites:
Zr 0.0000 0.0000 0.0000 (multiplicity 1)  12 Tc 3.12
Cu 0.5000 0.5000 0.5000 (multiplicity 1)  6 Tc 2.21
Tc 0.0000 0.5000 0.5000 (multiplicity 3)  2 Cu 2.21

- Total energy: -29.0317 eV per atom

No. 2
# RbHfMgSi2

RbHfMgSi2 at its PBEsol-relaxed geometry (SCAN, Alexandria via LeMat-Bulk).

Cell: 5.0968 5.0968 4.8624 Å, 90.00 90.00 90.00°
Last column: nearest neighbours and their distance in Å.
Space group P4/mmm (No. 123)
Unique sites:
Rb 0.0000 0.0000 0.0000 (multiplicity 1)  2 Mg 2.43, 4 Si 2.55
Hf 0.5000 0.5000 0.5000 (multiplicity 1)  8 Si 3.52, 4 Mg 3.60
Mg 0.0000 0.0000 0.5000 (multiplicity 1)  2 Rb 2.43
Si 0.0000 0.5000 0.0000 (multiplicity 2)  2 Rb 2.55

- Energy relative to the elements, uncorrected: 1050 kJ/mol of formula units

No. 3
# Ca2Bi10O17

Ca2Bi10O17 at its PBEsol-relaxed geometry (SCAN, Alexandria via LeMat-Bulk).

Cell: 7.7132 7.7461 9.5233 Å, 90.55 101.38 118.22°
Last column: nearest neighbours and their distance in Å.
Space group P1 (No. 1)
Unique sites:
Ca 0.0000 0.0000 0.0000 (multiplicity 1)  7 O 2.39-2.59
Ca 0.4976 0.4981 0.0022 (multiplicity 1)  7 O 2.39-2.64
Bi 0.0001 0.4856 0.9788 (multiplicity 1)  5 O 2.32-2.58
Bi 0.1869 0.5970 0.6471 (multiplicity 1)  5 O 2.15-2.37
Bi 0.2264 0.0911 0.6417 (multiplicity 1)  5 O 2.13-2.38
Bi 0.2641 0.3814 0.3203 (multiplicity 1)  4 O 2.09-2.29
Bi 0.2639 0.8813 0.3118 (multiplicity 1)  4 O 2.07-2.27
Bi 0.4923 0.9926 0.9637 (multiplicity 1)  7 O 2.34-2.59
Bi 0.7163 0.6049 0.6535 (multiplicity 1)  4 O 2.09-2.23
Bi 0.7246 0.1338 0.6476 (multiplicity 1)  5 O 2.17-2.42
Bi 0.7607 0.3787 0.3165 (multiplicity 1)  4 O 2.09-2.29
Bi 0.7734 0.8846 0.3171 (multiplicity 1)  4 O 2.07-2.29
O 0.0375 0.2560 0.5689 (multiplicity 1)  3 Bi 2.37-2.42
O 0.0875 0.5475 0.2981 (multiplicity 1)  3 Bi 2.26-2.27
O 0.0932 0.0508 0.2795 (multiplicity 1)  3 Bi 2.24-2.29
O 0.1931 0.3497 0.0946 (multiplicity 1)  2 Bi 2.09-2.32
O 0.2092 0.8508 0.0884 (multiplicity 1)  1 Bi 2.07
O 0.2833 0.1507 0.8696 (multiplicity 1)  1 Bi 2.13
O 0.2827 0.6170 0.8778 (multiplicity 1)  2 Bi 2.15-2.34, 1 Ca 2.39
O 0.4186 0.9362 0.7121 (multiplicity 1)  4 Bi 2.32-2.36
O 0.5292 0.2857 0.5682 (multiplicity 1)  3 Bi 2.23-2.36
O 0.5871 0.5478 0.2871 (multiplicity 1)  3 Bi 2.26-2.29
O 0.5971 0.0444 0.3247 (multiplicity 1)  3 Bi 2.24-2.29
O 0.6799 0.3238 0.0912 (multiplicity 1)  1 Bi 2.09
O 0.6925 0.8529 0.0935 (multiplicity 1)  1 Bi 2.07
O 0.7769 0.6594 0.8783 (multiplicity 1)  1 Bi 2.09
O 0.8136 0.1513 0.8807 (multiplicity 1)  2 Bi 2.17-2.36, 1 Ca 2.39
O 0.8988 0.4564 0.7206 (multiplicity 1)  4 Bi 2.21-2.40
O 0.9932 0.7508 0.5684 (multiplicity 1)  3 Bi 2.22-2.38

- Energy relative to the elements, uncorrected: -3810 kJ/mol of formula units

No. 4
# MoNOF2

MoNOF2 at its PBEsol-relaxed geometry (SCAN, Alexandria via LeMat-Bulk).

Cell: 3.9463 3.9463 3.8062 Å, 90.00 90.00 90.00°
Last column: nearest neighbours and their distance in Å.
Space group P4/mmm (No. 123)
Unique sites:
Mo 0.0000 0.0000 0.0000 (multiplicity 1)  2 N 1.90, 4 F 1.97
N 0.0000 0.0000 0.5000 (multiplicity 1)  2 Mo 1.90
O 0.5000 0.5000 0.5000 (multiplicity 1)  8 F 2.74, 4 N 2.79
F 0.0000 0.5000 0.0000 (multiplicity 2)  2 Mo 1.97

- Energy relative to the elements, uncorrected: -322 kJ/mol of formula units

No. 5
# RbNbGe3

RbNbGe3 at its PBEsol-relaxed geometry (SCAN, Alexandria via LeMat-Bulk).

Cell: 5.0525 5.0525 5.0525 Å, 90.00 90.00 90.00°
Last column: nearest neighbours and their distance in Å.
Space group Pm-3m (No. 221)
Unique sites:
Rb 0.0000 0.0000 0.0000 (multiplicity 1)  12 Ge 3.57
Nb 0.5000 0.5000 0.5000 (multiplicity 1)  6 Ge 2.53
Ge 0.0000 0.5000 0.5000 (multiplicity 3)  2 Nb 2.53

- Distance to the lowest polymorph of the same formula: 0 meV per atom

No. 6
# Rb2CdGe

Rb2CdGe at its PBEsol-relaxed geometry (SCAN, Alexandria via LeMat-Bulk).

Cell: 8.4230 8.4230 8.4230 Å, 90.00 90.00 90.00°
Last column: nearest neighbours and their distance in Å.
Space group Fm-3m (No. 225)
Unique sites:
Rb 0.2500 0.2500 0.2500 (multiplicity 8)  4 Ge 3.65, 4 Cd 3.65
Cd 0.0000 0.0000 0.0000 (multiplicity 4)  8 Rb 3.65
Ge 0.0000 0.0000 0.5000 (multiplicity 4)  8 Rb 3.65

- Total energy: -22.5141 eV per atom

No. 7
# GaBPOs2

GaBPOs2 at its PBEsol-relaxed geometry (SCAN, Alexandria via LeMat-Bulk).

Cell: 4.4699 4.4699 3.5437 Å, 90.00 90.00 90.00°
Last column: nearest neighbours and their distance in Å.
Space group P4/mmm (No. 123)
Unique sites:
Ga 0.0000 0.0000 0.0000 (multiplicity 1)  8 Os 2.85, 4 B 3.16
B 0.5000 0.5000 0.0000 (multiplicity 1)  2 P 1.77
P 0.5000 0.5000 0.5000 (multiplicity 1)  2 B 1.77
Os 0.0000 0.5000 0.5000 (multiplicity 2)  2 P 2.23

- Total energy: -34.4896 eV per atom

No. 8
# K3Cr2As3O12

K3Cr2As3O12 at its PBEsol-relaxed geometry (SCAN, Alexandria via LeMat-Bulk).

Cell: 12.5820 12.5820 12.5820 Å, 90.00 90.00 90.00°
Last column: nearest neighbours and their distance in Å.
Space group Ia-3d (No. 230)
Unique sites:
K 0.0000 0.2500 0.1250 (multiplicity 24)  8 O 2.54-2.69
Cr 0.0000 0.0000 0.0000 (multiplicity 16)  6 O 2.01
As 0.0000 0.2500 0.3750 (multiplicity 24)  4 O 1.73
O 0.0422 0.1478 0.9564 (multiplicity 96)  1 As 1.73

- Energy relative to the elements, uncorrected: -3592 kJ/mol of formula units

No. 9
# LaTc3Ag

LaTc3Ag at its PBEsol-relaxed geometry (SCAN, Alexandria via LeMat-Bulk).

Cell: 4.6645 4.6645 4.6645 Å, 90.00 90.00 90.00°
Last column: nearest neighbours and their distance in Å.
Space group Pm-3m (No. 221)
Unique sites:
La 0.0000 0.0000 0.0000 (multiplicity 1)  6 Tc 2.33
Tc 0.0000 0.0000 0.5000 (multiplicity 3)  2 La 2.33
Ag 0.5000 0.5000 0.5000 (multiplicity 1)  12 Tc 3.30

- Total energy: -33.7537 eV per atom

No. 10
# RbPtF2

RbPtF2 at its PBEsol-relaxed geometry (SCAN, Alexandria via LeMat-Bulk).

Cell: 3.1982 3.1982 22.8569 Å, 90.00 90.00 120.00°
Last column: nearest neighbours and their distance in Å.
Space group R-3m (No. 166, hexagonal axes)
Unique sites:
Rb 0.0000 0.0000 0.0000 (multiplicity 3)  6 F 2.60
Pt 0.0000 0.0000 0.5000 (multiplicity 3)  2 F 1.98
F 0.0000 0.0000 0.4132 (multiplicity 6)  1 Pt 1.98

- Energy relative to the elements, uncorrected: -583 kJ/mol of formula units
- Distance to the lowest polymorph of the same formula: 0 meV per atom

No. 11
# CaBeRe2

CaBeRe2 at its PBEsol-relaxed geometry (SCAN, Alexandria via LeMat-Bulk).

Cell: 2.7531 2.7531 27.3683 Å, 90.00 90.00 120.00°
Last column: nearest neighbours and their distance in Å.
Space group R-3m (No. 166, hexagonal axes)
Unique sites:
Ca 0.0000 0.0000 0.0000 (multiplicity 3)  6 Ca 2.75, 6 Re 3.07
Be 0.0000 0.0000 0.5000 (multiplicity 3)  6 Re 2.51, 6 Be 2.75
Re 0.0000 0.0000 0.2376 (multiplicity 6)  3 Be 2.51, 6 Re 2.75

- Total energy: -38.4294 eV per atom

No. 12
# Ba3BeSb

Ba3BeSb at its PBEsol-relaxed geometry (SCAN, Alexandria via LeMat-Bulk).

Cell: 6.5383 6.5383 6.5383 Å, 90.00 90.00 90.00°
Last column: nearest neighbours and their distance in Å.
Space group Pm-3m (No. 221)
Unique sites:
Ba 0.0000 0.0000 0.5000 (multiplicity 3)  2 Sb 3.27
Be 0.5000 0.5000 0.5000 (multiplicity 1)  12 Ba 4.62
Sb 0.0000 0.0000 0.0000 (multiplicity 1)  6 Ba 3.27

- Energy relative to the elements, uncorrected: 56 kJ/mol of formula units

No. 13
# Sc2MnCd

Sc2MnCd at its PBEsol-relaxed geometry (SCAN, Alexandria via LeMat-Bulk).

Cell: 3.3456 4.7855 4.7856 Å, 90.00 90.00 90.00°
Last column: nearest neighbours and their distance in Å.
Space group Pmm2 (No. 25)
Unique sites:
Sc 0.0000 0.0000 0.0000 (multiplicity 1)  4 Cd 2.92, 4 Mn 2.92
Sc 0.0000 0.5000 0.4985 (multiplicity 1)  4 Mn 2.91-2.92, 4 Cd 2.92
Mn 0.5000 0.5000 0.9973 (multiplicity 1)  8 Sc 2.91-2.92
Cd 0.5000 0.0000 0.5005 (multiplicity 1)  8 Sc 2.92

- Total energy: -19.5264 eV per atom

No. 14
# Al3ZnGe

Al3ZnGe at its PBEsol-relaxed geometry (SCAN, Alexandria via LeMat-Bulk).

Cell: 4.8361 4.8361 4.8361 Å, 90.00 90.00 90.00°
Last column: nearest neighbours and their distance in Å.
Space group Pm-3m (No. 221)
Unique sites:
Al 0.0000 0.0000 0.5000 (multiplicity 3)  2 Ge 2.42
Zn 0.5000 0.5000 0.5000 (multiplicity 1)  12 Al 3.42
Ge 0.0000 0.0000 0.0000 (multiplicity 1)  6 Al 2.42

- Total energy: -10.4049 eV per atom

No. 15
# Mg2SiAu

Mg2SiAu at its PBEsol-relaxed geometry (SCAN, Alexandria via LeMat-Bulk).

Cell: 4.1887 3.4186 10.0960 Å, 90.00 90.00 90.00°
Last column: nearest neighbours and their distance in Å.
Space group Amm2 (No. 38)
Unique sites:
Mg 0.0000 0.0000 0.0000 (multiplicity 2)  3 Au 2.74-2.87, 4 Si 2.84
Mg 0.5000 0.0000 0.3150 (multiplicity 2)  3 Si 2.74-2.87, 4 Au 2.84
Si 0.5000 0.0000 0.5865 (multiplicity 2)  2 Au 2.54, 1 Mg 2.74
Au 0.0000 0.0000 0.7283 (multiplicity 2)  2 Si 2.54, 1 Mg 2.74

- Energy relative to the elements, uncorrected: -156 kJ/mol of formula units

No. 16
# Hf2NiHAu

Hf2NiHAu at its PBEsol-relaxed geometry (SCAN, Alexandria via LeMat-Bulk).

Cell: 5.1919 5.1919 3.2334 Å, 90.00 90.00 90.00°
Last column: nearest neighbours and their distance in Å.
Space group P4/mmm (No. 123)
Unique sites:
Hf 0.0000 0.5000 0.0000 (multiplicity 2)  2 Au 2.60
Ni 0.0000 0.0000 0.5000 (multiplicity 1)  8 Hf 3.06, 2 Ni 3.23
H 0.5000 0.5000 0.5000 (multiplicity 1)  2 Au 1.62
Au 0.5000 0.5000 0.0000 (multiplicity 1)  2 H 1.62

- Total energy: -42.3356 eV per atom

No. 17
# CaCrGe2O6

CaCrGe2O6 at its PBEsol-relaxed geometry (SCAN, Alexandria via LeMat-Bulk).

Cell: 10.2039 8.9003 5.4359 Å, 90.00 103.99 90.00°
Last column: nearest neighbours and their distance in Å.
Space group C2/c (No. 15)
Unique sites:
Ca 0.0000 0.1919 0.2500 (multiplicity 4)  6 O 2.37-2.50
Cr 0.0000 0.4112 0.7500 (multiplicity 4)  6 O 2.01-2.11
Ge 0.2148 0.1013 0.7778 (multiplicity 8)  4 O 1.76-1.84
O 0.1059 0.4116 0.1261 (multiplicity 8)  1 Ge 1.78
O 0.1305 0.2664 0.6528 (multiplicity 8)  1 Ge 1.76
O 0.1400 0.0349 0.0289 (multiplicity 8)  2 Ge 1.82-1.84

- Energy relative to the elements, uncorrected: -2098 kJ/mol of formula units

No. 18
# CoHg4Mo

CoHg4Mo at its PBEsol-relaxed geometry (SCAN, Alexandria via LeMat-Bulk).

Cell: 7.7725 7.7725 7.7725 Å, 90.00 90.00 90.00°
Last column: nearest neighbours and their distance in Å.
Space group F-43m (No. 216)
Unique sites:
Co 0.0000 0.0000 0.0000 (multiplicity 4)  12 Hg 3.22, 4 Mo 3.37
Hg 0.1251 0.1251 0.3749 (multiplicity 16)  6 Hg 2.75
Mo 0.2500 0.2500 0.7500 (multiplicity 4)  12 Hg 3.22, 4 Co 3.37

- Total energy: -53.2235 eV per atom

No. 19
# ZrNi5

ZrNi5 at its PBEsol-relaxed geometry (SCAN, Alexandria via LeMat-Bulk).

Cell: 6.6020 6.6020 6.6020 Å, 90.00 90.00 90.00°
Last column: nearest neighbours and their distance in Å.
Space group F-43m (No. 216)
Unique sites:
Zr 0.0000 0.0000 0.0000 (multiplicity 4)  16 Ni 2.74-2.86
Ni 0.1239 0.1239 0.3761 (multiplicity 16)  6 Ni 2.31-2.35
Ni 0.2500 0.2500 0.7500 (multiplicity 4)  12 Ni 2.73, 4 Zr 2.86

- Total energy: -18.9198 eV per atom

No. 20
# HgAs2Ru

HgAs2Ru at its PBEsol-relaxed geometry (SCAN, Alexandria via LeMat-Bulk).

Cell: 2.9905 2.9905 28.9293 Å, 90.00 90.00 120.00°
Last column: nearest neighbours and their distance in Å.
Space group R-3m (No. 166, hexagonal axes)
Unique sites:
Hg 0.0000 0.0000 0.0000 (multiplicity 3)  6 Hg 2.99
As 0.0000 0.0000 0.2306 (multiplicity 6)  3 Ru 2.53
Ru 0.0000 0.0000 0.5000 (multiplicity 3)  6 As 2.53

- Total energy: -35.8561 eV per atom